Density functional theory data (PBE) for a geometry-optimized Li2TbOsO6 structure.

The total magnetic moment comes out at 0.5 μB per formula unit. The value obtained for the calculated volume is 232 Å³ per cell. Its space-group type is P2_1/c, No. 14. The crystal system is monoclinic. As for the formation energy from raw total energies: -1.91 eV per atom. The density of states at the Fermi level is 3.69 states/eV/f.u.

a = 5.3480 Å, b = 5.5450 Å, c = 7.8325 Å
α = 90.00°, β = 90.19°, γ = 90.00°
Sites, in units of the cell vectors:
O 0.8619 0.7992 0.9286
O 0.6381 0.2992 0.5714
O 0.3058 0.6514 0.0576
O 0.8792 0.5634 0.2264
O 0.1942 0.1514 0.4424
O 0.6942 0.3486 0.9424
O 0.1381 0.2008 0.0714
O 0.3619 0.7008 0.4286
O 0.1208 0.4366 0.7736
O 0.8058 0.8486 0.5576
O 0.3792 0.9366 0.7264
O 0.6208 0.0634 0.2736
Li 0.0132 0.0154 0.7422
Li 0.5132 0.4846 0.2422
Li 0.9868 0.9846 0.2578
Li 0.4868 0.5154 0.7578
Os 0.5000 0.0000 0.5000
Os 0.0000 0.5000 0.0000
Tb 0.0000 0.5000 0.5000
Tb 0.5000 0.0000 0.0000

---

Density functional theory data (PBE) for a geometry-optimized TbDyMgBe structure.

The total magnetic moment comes out at 0.0 μB per formula unit. The value obtained for the calculated volume is 93 Å³ per cell. Its space-group type is F-43m, No. 216. The crystal system is cubic. The density of states at the Fermi level is 4.20 states/eV/f.u. The calculation puts the formation enthalpy at 0 K at 0.092 eV/atom.

a = 5.0943 Å, b = 5.0943 Å, c = 5.0943 Å
α = 60.00°, β = 60.00°, γ = 60.00°
Sites, in units of the cell vectors:
Be 0.0000 0.0000 0.0000
Dy 0.2500 0.2500 0.2500
Mg 0.5000 0.5000 0.5000
Tb 0.7500 0.7500 0.7500

---

Density functional theory data (PBE) for a geometry-optimized AcNdAsPd structure.

The total magnetic moment comes out at 0.8 μB per formula unit. The value obtained for the calculated volume is 106 Å³ per cell. Its space-group type is F-43m, No. 216. The crystal system is cubic. The density of states at the Fermi level is 3.91 states/eV/f.u. The calculation puts the formation enthalpy at 0 K at -0.836 eV/atom.

a = 5.3116 Å, b = 5.3116 Å, c = 5.3116 Å
α = 60.00°, β = 60.00°, γ = 60.00°
Sites, in units of the cell vectors:
As 0.7500 0.7500 0.7500
Nd 0.0000 0.0000 0.0000
Ac 0.5000 0.5000 0.5000
Pd 0.2500 0.2500 0.2500

---

Density functional theory data (PBE) for a geometry-optimized PrNdScCd structure.

The total magnetic moment comes out at 0.0 μB per formula unit. The value obtained for the calculated volume is 116 Å³ per cell. The calculation puts the energy above the most stable polymorph in this dataset at 0.0000 eV/atom. Its space-group type is P4mm, No. 99. The crystal system is tetragonal. The density of states at the Fermi level is 4.47 states/eV/f.u. The calculation puts the formation enthalpy at 0 K at -0.124 eV/atom.

a = 3.6011 Å, b = 3.6009 Å, c = 8.9702 Å
α = 90.00°, β = 90.00°, γ = 90.00°
Sites, in units of the cell vectors:
Cd 0.4271 0.0000 0.6906
Nd 0.4269 0.0000 0.1357
Sc 0.9270 0.5000 0.8764
Pr 0.9269 0.5000 0.4365

---

Density functional theory data (PBE) for a geometry-optimized Ca2AlB2O6 structure.

The total magnetic moment comes out at 1.0 μB per formula unit. The value obtained for the calculated volume is 121 Å³ per cell. Its space-group type is P-3, No. 147. The crystal system is trigonal. As for the formation energy from raw total energies: -2.48 eV per atom. The density of states at the Fermi level is 3.50 states/eV/f.u.

a = 5.0310 Å, b = 5.0310 Å, c = 5.5048 Å
α = 90.00°, β = 90.00°, γ = 120.00°
Sites, in units of the cell vectors:
O 0.7856 0.1364 0.2148
O 0.8636 0.6492 0.2148
O 0.1364 0.3508 0.7852
O 0.2144 0.8636 0.7852
O 0.6492 0.7856 0.7852
O 0.3508 0.2144 0.2148
Ca 0.3333 0.6667 0.3222
Ca 0.6667 0.3333 0.6778
Al 0.0000 0.0000 0.0000
B 0.6667 0.3333 0.1712
B 0.3333 0.6667 0.8288

---

Density functional theory data (PBE) for a geometry-optimized TlPtN3 structure.

The total magnetic moment comes out at 0.0 μB per formula unit. The value obtained for the calculated volume is 73 Å³ per cell. Its space-group type is Pm-3m, No. 221. The crystal system is cubic. As for the formation energy from raw total energies: 3.02 eV per atom. The density of states at the Fermi level is 6.69 states/eV/f.u.

a = 4.1845 Å, b = 4.1845 Å, c = 4.1845 Å
α = 90.00°, β = 90.00°, γ = 90.00°
Sites, in units of the cell vectors:
Pt 0.5000 0.5000 0.5000
N 0.0000 0.5000 0.0000
N 0.0000 0.0000 0.5000
N 0.5000 0.0000 0.0000
Tl 0.0000 0.0000 0.0000

---

no.,VASP energy (eV per atom)
1,-6.857
2,-3.547
3,-5.515
4,-4.322
5,-7.105
6,-3.660